# 1
A plane-wave DFT calculation with PBE-GGA was carried out for an optimized crystal structure of BeCoTeBr2.

a b c (Å): 4.6547 4.6547 5.6461
angles (deg): 90.00 90.00 90.00
Positions (direct):
Be1 0.0000 0.0000 0.0000
Co1 0.5000 0.5000 0.5000
Te1 0.5000 0.5000 0.0000
Br1 0.0000 0.5000 0.5000
Br2 0.5000 0.0000 0.5000

Summary:
E_form (uncorrected): 0.5675 eV/atom
symmetry: P4/mmm
total magnetization: 1.38 μB per formula unit
Fermi-level density of states: 6.34 states/eV/f.u.

***

# 2
A plane-wave DFT calculation with PBE-GGA was carried out for an optimized crystal structure of CaZnRe2O8.

a b c (Å): 4.9611 4.9611 5.9735
angles (deg): 90.05 90.05 87.37
Positions (direct):
Ca1 0.0000 0.0000 0.0000
Zn1 0.0000 0.0000 0.5000
Re1 0.5003 0.5003 0.2710
Re2 0.4997 0.4997 0.7290
O1 0.2313 0.7680 0.2731
O2 0.2320 0.7687 0.7269
O3 0.2948 0.2948 0.4999
O4 0.3314 0.3314 0.9995
O5 0.6686 0.6686 0.0005
O6 0.7052 0.7052 0.5001
O7 0.7680 0.2313 0.2731
O8 0.7687 0.2320 0.7269

Summary:
E_form (uncorrected): -1.7660 eV/atom
symmetry: C2/m
total magnetization: 0.00 μB per formula unit